[1]
# CaHfAu4

A geometry-optimized CaHfAu4 structure (PBE, Alexandria via LeMat-Bulk).

abc: 3.6426 3.6426 9.0407
angles: 90.00 90.00 90.00
Last column: nearest neighbours and their distance in Å.
Sites, in units of the cell vectors:
Ca 0.0000 0.0000 0.0000  10 Au 3.03-3.10
Hf 0.5000 0.5000 0.5000  10 Au 2.92-2.94
Au 0.0000 0.0000 0.3431  5 Au 2.84-2.98, 4 Hf 2.94, 1 Ca 3.10
Au 0.0000 0.0000 0.6569  5 Au 2.84-2.98, 4 Hf 2.94, 1 Ca 3.10
Au 0.5000 0.5000 0.1768  1 Hf 2.92, 5 Au 2.98-3.20, 4 Ca 3.03
Au 0.5000 0.5000 0.8232  1 Hf 2.92, 5 Au 2.98-3.20, 4 Ca 3.03

Computed properties:
* symmetry: P4/mmm, No. 123
* total magnetic moment: 0.00 μB/f.u.
* formation energy from the elements: -0.5927 eV per atom
* VASP energy: -4.77 eV/atom



[2]
# CaHfHgAu2

A geometry-optimized CaHfHgAu2 structure (PBE, Alexandria via LeMat-Bulk).

abc: 5.1958 5.1958 6.0738
angles: 90.00 90.00 90.00
Last column: nearest neighbours and their distance in Å.
Sites, in units of the cell vectors:
Ca 0.0000 0.0000 0.0000  2 Hf 3.04
Hf 0.0000 0.0000 0.5000  4 Au 2.60
Hg 0.5000 0.5000 0.0000  4 Ca 3.67, 8 Au 4.00
Au 0.0000 0.5000 0.5000  2 Hf 2.60
Au 0.5000 0.0000 0.5000  2 Hf 2.60

Computed properties:
* symmetry: P4/mmm, No. 123
* total magnetic moment: 0.00 μB/f.u.
* formation energy from the elements: 0.4696 eV per atom
* VASP energy: -3.29 eV/atom



[3]
# CaHfPtAu

A geometry-optimized CaHfPtAu structure (PBE, Alexandria via LeMat-Bulk).

abc: 4.8570 4.8570 4.8570
angles: 60.00 60.00 60.00
Last column: nearest neighbours and their distance in Å.
Sites, in units of the cell vectors:
Ca 0.0000 0.0000 0.0000  4 Pt 2.97, 4 Au 2.97
Hf 0.5000 0.5000 0.5000  4 Pt 2.97, 4 Au 2.97
Pt 0.7500 0.7500 0.7500  4 Hf 2.97, 4 Ca 2.97
Au 0.2500 0.2500 0.2500  4 Hf 2.97, 4 Ca 2.97

Computed properties:
* symmetry: F-43m, No. 216
* total magnetic moment: 0.00 μB/f.u.
* formation energy from the elements: -0.6686 eV per atom
* VASP energy: -5.99 eV/atom



[4]
# CaHfSc2Au

A geometry-optimized CaHfSc2Au structure (PBE, Alexandria via LeMat-Bulk).

abc: 5.1238 5.1238 5.6028
angles: 90.00 90.00 90.00
Last column: nearest neighbours and their distance in Å.
Sites, in units of the cell vectors:
Ca 0.0000 0.0000 0.0000  2 Hf 2.80
Hf 0.0000 0.0000 0.5000  4 Sc 2.56, 2 Ca 2.80
Sc 0.0000 0.5000 0.5000  2 Hf 2.56
Sc 0.5000 0.0000 0.5000  2 Hf 2.56
Au 0.5000 0.5000 0.0000  4 Ca 3.62, 8 Sc 3.80

Computed properties:
* symmetry: P4/mmm, No. 123
* total magnetic moment: 0.00 μB/f.u.
* formation energy from the elements: 0.8428 eV per atom
* VASP energy: -4.74 eV/atom



[5]
# CaHf2SnAu

A geometry-optimized CaHf2SnAu structure (PBE, Alexandria via LeMat-Bulk).

abc: 5.2810 5.2810 5.5849
angles: 90.00 90.00 90.00
Last column: nearest neighbours and their distance in Å.
Sites, in units of the cell vectors:
Ca 0.0000 0.0000 0.0000  2 Sn 2.79
Hf 0.0000 0.5000 0.5000  2 Sn 2.64
Hf 0.5000 0.0000 0.5000  2 Sn 2.64
Sn 0.0000 0.0000 0.5000  4 Hf 2.64, 2 Ca 2.79
Au 0.5000 0.5000 0.0000  4 Ca 3.73, 8 Hf 3.84

Computed properties:
* symmetry: P4/mmm, No. 123
* total magnetic moment: 0.00 μB/f.u.
* formation energy from the elements: 0.8526 eV per atom
* VASP energy: -4.99 eV/atom



[6]
# CaHfTl2Au

A geometry-optimized CaHfTl2Au structure (PBE, Alexandria via LeMat-Bulk).

abc: 5.5960 5.5960 5.1812
angles: 90.00 90.00 90.00
Last column: nearest neighbours and their distance in Å.
Sites, in units of the cell vectors:
Ca 0.0000 0.0000 0.0000  8 Tl 3.81, 4 Au 3.96
Hf 0.5000 0.5000 0.5000  2 Au 2.59, 4 Tl 2.80
Tl 0.0000 0.5000 0.5000  2 Hf 2.80
Tl 0.5000 0.0000 0.5000  2 Hf 2.80
Au 0.5000 0.5000 0.0000  2 Hf 2.59

Computed properties:
* symmetry: P4/mmm, No. 123
* total magnetic moment: 0.00 μB/f.u.
* formation energy from the elements: 0.2034 eV per atom
* VASP energy: -3.79 eV/atom



[7]
# Ca2HfZnAu6

A geometry-optimized Ca2HfZnAu6 structure (PBE, Alexandria via LeMat-Bulk).

abc: 7.1919 7.1919 7.1919
angles: 60.00 60.00 60.00
Last column: nearest neighbours and their distance in Å.
Sites, in units of the cell vectors:
Ca 0.2500 0.2500 0.2500  12 Au 3.60
Ca 0.7500 0.7500 0.7500  12 Au 3.60
Hf 0.0000 0.0000 0.0000  6 Au 2.62
Zn 0.5000 0.5000 0.5000  6 Au 2.47
Au 0.2572 0.2572 0.7428  1 Zn 2.47, 1 Hf 2.62
Au 0.2572 0.7428 0.2572  1 Zn 2.47, 1 Hf 2.62
Au 0.2572 0.7428 0.7428  1 Zn 2.47, 1 Hf 2.62
Au 0.7428 0.2572 0.2572  1 Zn 2.47, 1 Hf 2.62
Au 0.7428 0.2572 0.7428  1 Zn 2.47, 1 Hf 2.62
Au 0.7428 0.7428 0.2572  1 Zn 2.47, 1 Hf 2.62

Computed properties:
* symmetry: Fm-3m, No. 225
* total magnetic moment: 0.00 μB/f.u.
* formation energy from the elements: -0.1949 eV per atom
* VASP energy: -3.68 eV/atom



[8]
# CaHf2ZnAu

A geometry-optimized CaHf2ZnAu structure (PBE, Alexandria via LeMat-Bulk).

abc: 5.0171 5.0171 4.9286
angles: 90.00 90.00 90.00
Last column: nearest neighbours and their distance in Å.
Sites, in units of the cell vectors:
Ca 0.0000 0.0000 0.0000  8 Hf 3.52, 4 Au 3.55
Hf 0.0000 0.5000 0.5000  2 Zn 2.51
Hf 0.5000 0.0000 0.5000  2 Zn 2.51
Zn 0.5000 0.5000 0.5000  2 Au 2.46, 4 Hf 2.51
Au 0.5000 0.5000 0.0000  2 Zn 2.46

Computed properties:
* symmetry: P4/mmm, No. 123
* total magnetic moment: 0.00 μB/f.u.
* formation energy from the elements: 0.5126 eV per atom
* VASP energy: -4.78 eV/atom



[9]
# Ca5Hg2Au

A geometry-optimized Ca5Hg2Au structure (PBE, Alexandria via LeMat-Bulk).

abc: 7.7866 12.7688 4.9150
angles: 90.00 90.00 90.00
Last column: nearest neighbours and their distance in Å.
Sites, in units of the cell vectors:
Ca 0.0000 0.0000 0.0000  4 Hg 3.28, 4 Ca 3.65
Ca 0.1460 0.2892 0.0000  1 Au 2.92
Ca 0.1827 0.5848 0.5000  2 Au 3.04, 2 Hg 3.25-3.31
Ca 0.3173 0.0848 0.5000  2 Au 3.04, 2 Hg 3.25-3.31
Ca 0.3540 0.7892 0.0000  1 Au 2.92
Ca 0.5000 0.5000 0.0000  4 Hg 3.28, 4 Ca 3.65
Ca 0.6460 0.2108 0.0000  1 Au 2.92
Ca 0.6827 0.9152 0.5000  2 Au 3.04, 2 Hg 3.25-3.31
Ca 0.8173 0.4152 0.5000  2 Au 3.04, 2 Hg 3.25-3.31
Ca 0.8540 0.7108 0.0000  1 Au 2.92
Hg 0.0802 0.8367 0.5000  8 Ca 3.25-3.42
Hg 0.4198 0.3367 0.5000  8 Ca 3.25-3.42
Hg 0.5802 0.6633 0.5000  8 Ca 3.25-3.42
Hg 0.9198 0.1633 0.5000  8 Ca 3.25-3.42
Au 0.0000 0.5000 0.0000  6 Ca 2.92-3.04
Au 0.5000 0.0000 0.0000  6 Ca 2.92-3.04

Computed properties:
* symmetry: Pbam, No. 55
* total magnetic moment: 0.00 μB/f.u.
* formation energy from the elements: -0.5018 eV per atom
* VASP energy: -2.24 eV/atom



[10]
# CaHgAu

A geometry-optimized CaHgAu structure (PBE, Alexandria via LeMat-Bulk).

abc: 5.4788 5.4788 5.4788
angles: 138.84 138.84 59.62
Last column: nearest neighbours and their distance in Å.
Sites, in units of the cell vectors:
Ca 0.0000 0.0000 0.0000  5 Hg 3.09-3.19, 5 Au 3.12-3.24
Hg 0.3250 0.3250 0.0000  5 Ca 3.09-3.19, 5 Au 3.15-3.18
Au 0.6592 0.6592 0.0000  5 Ca 3.12-3.24, 5 Hg 3.15-3.18

Computed properties:
* symmetry: I4mm, No. 107
* total magnetic moment: 0.00 μB/f.u.
* formation energy from the elements: -0.5740 eV per atom
* VASP energy: -2.43 eV/atom



[11]
# Ca3Hg5Au2

A geometry-optimized Ca3Hg5Au2 structure (PBE, Alexandria via LeMat-Bulk).

abc: 9.1773 9.1773 9.1773
angles: 122.53 92.94 114.27
Last column: nearest neighbours and their distance in Å.
Sites, in units of the cell vectors:
Ca 0.1577 0.6924 0.8501  2 Au 2.94-3.09, 4 Hg 3.20-3.27
Ca 0.2500 0.2500 0.0000  4 Au 2.98, 2 Hg 3.18
Ca 0.3423 0.1924 0.5348  2 Au 2.94-3.09, 4 Hg 3.20-3.27
Ca 0.6577 0.8076 0.4652  2 Au 2.94-3.09, 4 Hg 3.20-3.27
Ca 0.7500 0.7500 0.0000  4 Au 2.98, 2 Hg 3.18
Ca 0.8423 0.3076 0.1499  2 Au 2.94-3.09, 4 Hg 3.20-3.27
Hg 0.0018 0.7500 0.2518  2 Au 2.95, 1 Hg 3.14, 3 Ca 3.18-3.22
Hg 0.0997 0.3397 0.4394  1 Au 2.82, 2 Hg 3.13
Hg 0.2500 0.7500 0.5000  6 Hg 3.13-3.14
Hg 0.4003 0.8397 0.2400  1 Au 2.82, 2 Hg 3.13
Hg 0.4982 0.7500 0.7482  2 Au 2.95, 1 Hg 3.14, 3 Ca 3.18-3.22
Hg 0.5018 0.2500 0.2518  2 Au 2.95, 1 Hg 3.14, 3 Ca 3.18-3.22
Hg 0.5997 0.1603 0.7600  1 Au 2.82, 2 Hg 3.13
Hg 0.7500 0.2500 0.5000  6 Hg 3.13-3.14
Hg 0.9003 0.6603 0.5606  1 Au 2.82, 2 Hg 3.13
Hg 0.9982 0.2500 0.7482  2 Au 2.95, 1 Hg 3.14, 3 Ca 3.18-3.22
Au 0.1281 0.0228 0.1510  3 Hg 2.82-2.95, 4 Ca 2.94-3.09
Au 0.3719 0.5228 0.8947  3 Hg 2.82-2.95, 4 Ca 2.94-3.09
Au 0.6281 0.4772 0.1053  3 Hg 2.82-2.95, 4 Ca 2.94-3.09
Au 0.8719 0.9772 0.8490  3 Hg 2.82-2.95, 4 Ca 2.94-3.09

Computed properties:
* symmetry: Ibam, No. 72
* total magnetic moment: 0.00 μB/f.u.
* formation energy from the elements: -0.3989 eV per atom
* VASP energy: -1.81 eV/atom



[12]
# Ca2Hg3Au2

A geometry-optimized Ca2Hg3Au2 structure (PBE, Alexandria via LeMat-Bulk).

abc: 5.7851 5.7851 7.5537
angles: 94.29 94.29 43.49
Last column: nearest neighbours and their distance in Å.
Sites, in units of the cell vectors:
Ca 0.1139 0.1139 0.3288  5 Au 3.06-3.18, 2 Hg 3.29
Ca 0.8861 0.8861 0.6712  5 Au 3.06-3.18, 2 Hg 3.29
Hg 0.2043 0.2043 0.8568  2 Au 2.92, 2 Hg 3.15
Hg 0.5000 0.5000 0.0000  2 Au 3.09, 6 Hg 3.27-3.31, 4 Ca 3.43
Hg 0.7957 0.7957 0.1432  2 Au 2.92, 2 Hg 3.15
Au 0.3996 0.3996 0.3725  1 Au 2.77, 3 Hg 2.92-3.09, 1 Ca 3.06
Au 0.6004 0.6004 0.6275  1 Au 2.77, 3 Hg 2.92-3.09, 1 Ca 3.06

Computed properties:
* symmetry: C2/m, No. 12
* ΔE to the lowest computed polymorph: 0.0284 eV/atom
* total magnetic moment: 0.00 μB/f.u.
* formation energy from the elements: -0.5033 eV per atom
* VASP energy: -2.14 eV/atom